[1]
# Mn4PtRh, optimized geometry, DFT PBE
data_Mn4PtRh
_space_group_name_H-M_alt 'F -4 3 m'
_space_group_IT_number 216
_space_group_name_Hall 'F -4 2 3'
_cell_length_a 6.670
_cell_length_b 6.670
_cell_length_c 6.670
_cell_angle_alpha 90.00
_cell_angle_beta 90.00
_cell_angle_gamma 90.00
loop_
_atom_site_label
_atom_site_fract_x
_atom_site_fract_y
_atom_site_fract_z
Mn1 0.125 0.125 0.125
Pt1 0.250 0.250 0.750
Rh1 0.000 0.000 0.500
# Crystal system: cubic
# Formation energy (eV per atom): 0.02

---

[2]
# La2Y3Au2, optimized geometry, DFT PBE
data_La2Y3Au2
_space_group_name_H-M_alt 'C 1 2/m 1'
_space_group_IT_number 12
_cell_length_a 13.061
_cell_length_b 3.776
_cell_length_c 9.410
_cell_angle_alpha 90.00
_cell_angle_beta 116.87
_cell_angle_gamma 90.00
loop_
_space_group_symop_operation_xyz
'x,y,z'
'-x,-y,-z'
'-x,y,-z'
'x,-y,z'
'x+1/2,y+1/2,z'
'-x+1/2,-y+1/2,-z'
'-x+1/2,y+1/2,-z'
'x+1/2,-y+1/2,z'
loop_
_atom_site_label
_atom_site_fract_x
_atom_site_fract_y
_atom_site_fract_z
La1 0.155 0.000 0.316
Y1 0.000 0.500 0.500
Y2 0.115 0.500 0.945
Au1 0.165 0.000 0.737
# Crystal system: monoclinic
# Formation energy (eV per atom): -0.50

---

[3]
# Rb3Tb3SbTe8, optimized geometry, DFT PBE
data_Rb3Tb3SbTe8
_space_group_name_H-M_alt 'C 1 2/m 1'
_space_group_IT_number 12
_cell_length_a 15.471
_cell_length_b 8.911
_cell_length_c 10.181
_cell_angle_alpha 90.00
_cell_angle_beta 120.52
_cell_angle_gamma 90.00
loop_
_space_group_symop_operation_xyz
'x,y,z'
'-x,-y,-z'
'-x,y,-z'
'x,-y,z'
'x+1/2,y+1/2,z'
'-x+1/2,-y+1/2,-z'
'-x+1/2,y+1/2,-z'
'x+1/2,-y+1/2,z'
loop_
_atom_site_label
_atom_site_fract_x
_atom_site_fract_y
_atom_site_fract_z
Rb1 0.000 0.000 0.000
Rb2 0.250 0.250 0.000
Tb1 0.000 0.500 0.500
Tb2 0.250 0.250 0.500
Sb1 0.000 0.000 0.500
Te1 0.017 0.248 0.304
Te2 0.230 0.000 0.696
Te3 0.234 0.500 0.701
# Energy relative to the elements, uncorrected (eV/f.u.): -16.456
# Crystal system: monoclinic

---

[4]
# CeMgCo, optimized geometry, DFT PBE
data_CeMgCo
_space_group_name_H-M_alt 'I 4 m m'
_space_group_IT_number 107
_space_group_name_Hall 'I 4 -2'
_cell_length_a 3.137
_cell_length_b 3.137
_cell_length_c 12.070
_cell_angle_alpha 90.00
_cell_angle_beta 90.00
_cell_angle_gamma 90.00
loop_
_atom_site_label
_atom_site_fract_x
_atom_site_fract_y
_atom_site_fract_z
Ce1 0.000 0.000 0.000
Mg1 0.000 0.000 0.733
Co1 0.000 0.000 0.366
# Crystal system: tetragonal
# Formation energy (eV per atom): -0.04

---

[5]
# LiTcPb2, optimized geometry, DFT PBE
data_LiTcPb2
_space_group_name_H-M_alt 'I -4 2 d'
_space_group_IT_number 122
_space_group_name_Hall 'I -4 2bw'
_cell_length_a 4.560
_cell_length_b 4.560
_cell_length_c 18.824
_cell_angle_alpha 90.00
_cell_angle_beta 90.00
_cell_angle_gamma 90.00
loop_
_atom_site_label
_atom_site_fract_x
_atom_site_fract_y
_atom_site_fract_z
Li1 0.000 0.000 0.000
Tc1 0.000 0.000 0.500
Pb1 0.247 0.250 0.625
# ΔE to the lowest computed polymorph (eV/f.u.): 1.69
# Crystal system: tetragonal
# Formation energy (eV per atom): 0.67

---

[6]
# TbPrPt4, optimized geometry, DFT PBE
data_TbPrPt4
_space_group_name_H-M_alt 'F -4 3 m'
_space_group_IT_number 216
_space_group_name_Hall 'F -4 2 3'
_cell_length_a 7.768
_cell_length_b 7.768
_cell_length_c 7.768
_cell_angle_alpha 90.00
_cell_angle_beta 90.00
_cell_angle_gamma 90.00
loop_
_atom_site_label
_atom_site_fract_x
_atom_site_fract_y
_atom_site_fract_z
Tb1 0.000 0.000 0.000
Pr1 0.250 0.250 0.750
Pt1 0.125 0.125 0.375
# Crystal system: cubic
# Formation energy (eV per atom): -1.08

---

[7]
# TbTlPt, optimized geometry, DFT PBE
data_TbTlPt
_space_group_name_H-M_alt 'I 4 m m'
_space_group_IT_number 107
_space_group_name_Hall 'I 4 -2'
_cell_length_a 3.773
_cell_length_b 3.773
_cell_length_c 9.714
_cell_angle_alpha 90.00
_cell_angle_beta 90.00
_cell_angle_gamma 90.00
loop_
_atom_site_label
_atom_site_fract_x
_atom_site_fract_y
_atom_site_fract_z
Tb1 0.000 0.000 0.000
Tl1 0.000 0.000 0.310
Pt1 0.000 0.000 0.637
# Crystal system: tetragonal
# Formation energy (eV per atom): -0.63

---

[8]
# KTaH, optimized geometry, DFT PBE
data_KTaH
_space_group_name_H-M_alt 'P -1'
_space_group_IT_number 2
_cell_length_a 2.992
_cell_length_b 4.679
_cell_length_c 9.926
_cell_angle_alpha 89.27
_cell_angle_beta 88.15
_cell_angle_gamma 89.98
loop_
_space_group_symop_operation_xyz
'x,y,z'
'-x,-y,-z'
loop_
_atom_site_label
_atom_site_fract_x
_atom_site_fract_y
_atom_site_fract_z
K1 0.220 0.251 0.314
Ta1 0.245 0.768 0.047
H1 0.261 0.515 0.896
# ΔE to the lowest computed polymorph (eV/f.u.): 0.36
# Crystal system: triclinic

---

[9]
# ZrRuAu, optimized geometry, DFT PBE
data_ZrRuAu
_space_group_name_H-M_alt 'P 3 m 1'
_space_group_IT_number 156
_cell_length_a 3.3033
_cell_length_b 3.3033
_cell_length_c 6.1284
_cell_angle_alpha 90.00
_cell_angle_beta 90.00
_cell_angle_gamma 120.00
loop_
_space_group_symop_operation_xyz
'x,y,z'
'-y,x-y,z'
'-x+y,-x,z'
'-y,-x,z'
'-x+y,y,z'
'x,x-y,z'
loop_
_atom_site_label
_atom_site_fract_x
_atom_site_fract_y
_atom_site_fract_z
Zr1 0.0000 0.0000 0.0000
Ru1 0.3333 0.6667 0.7110
Au1 0.6667 0.3333 0.3585
# ΔE to the lowest computed polymorph (eV/f.u.): 0.75
# Crystal system: trigonal
# Formation energy (eV per atom): -0.08

---

[10]
# Mg2BeRu2, optimized geometry, DFT PBE
data_Mg2BeRu2
_space_group_name_H-M_alt 'P 4/m b m'
_space_group_IT_number 127
_space_group_name_Hall '-P 4 2ab'
_cell_length_a 6.509
_cell_length_b 6.509
_cell_length_c 3.447
_cell_angle_alpha 90.00
_cell_angle_beta 90.00
_cell_angle_gamma 90.00
loop_
_atom_site_label
_atom_site_fract_x
_atom_site_fract_y
_atom_site_fract_z
Mg1 0.137 0.363 0.000
Be1 0.000 0.000 0.000
Ru1 0.169 0.669 0.500
# ΔE to the lowest computed polymorph (eV/f.u.): 2.32
# Crystal system: tetragonal
# Formation energy (eV per atom): 0.45

---

[11]
# K2TcAg, optimized geometry, DFT PBE
data_K2TcAg
_space_group_name_H-M_alt 'F m -3 m'
_space_group_IT_number 225
_space_group_name_Hall '-F 4 2 3'
_cell_length_a 8.106
_cell_length_b 8.106
_cell_length_c 8.106
_cell_angle_alpha 90.00
_cell_angle_beta 90.00
_cell_angle_gamma 90.00
loop_
_atom_site_label
_atom_site_fract_x
_atom_site_fract_y
_atom_site_fract_z
K1 0.250 0.250 0.250
Tc1 0.000 0.000 0.000
Ag1 0.000 0.000 0.500
# ΔE to the lowest computed polymorph (eV/f.u.): 1.63
# Crystal system: cubic
# Formation energy (eV per atom): 1.25

---

[12]
# Zn3HgO, optimized geometry, DFT PBE
data_Zn3HgO
_space_group_name_H-M_alt 'P m -3 m'
_space_group_IT_number 221
_space_group_name_Hall '-P 4 2 3'
_cell_length_a 4.301
_cell_length_b 4.301
_cell_length_c 4.301
_cell_angle_alpha 90.00
_cell_angle_beta 90.00
_cell_angle_gamma 90.00
loop_
_atom_site_label
_atom_site_fract_x
_atom_site_fract_y
_atom_site_fract_z
Zn1 0.000 0.000 0.500
Hg1 0.500 0.500 0.500
O1 0.000 0.000 0.000
# Energy relative to the elements, uncorrected (eV/f.u.): -0.654
# ΔE to the lowest computed polymorph (eV/f.u.): 0.00
# Crystal system: cubic

---

| no. | magnetization (μB per atom) |
| --- | --- |
| 1 | 0.81 |
| 2 | 0.00 |
| 3 | 0.00 |
| 4 | 0.25 |
| 5 | 0.58 |
| 6 | 0.00 |
| 7 | 0.00 |
| 8 | 0.00 |
| 9 | 0.00 |
| 10 | 0.00 |
| 11 | 0.97 |
| 12 | 0.00 |